No. 1
Compound: La4Nd5Dy4
Source: the Alexandria database
Functional: GGA-PBE
Structure: relaxed

Crystal system   monoclinic
SG   No. 12

Cell: 9.6807 9.6807 13.1821 Å, 132.89 132.89 31.10°
Closest atoms and distances in Å follow each position.
Atoms (fractional coordinates):
La 0.0775 0.0775 0.1946  4 Dy 3.64-3.66, 3 Nd 3.66-3.71, 5 La 3.69-3.70
La 0.3829 0.3829 0.9604  4 Dy 3.64-3.65, 3 Nd 3.66-3.71, 5 La 3.69-3.71
La 0.6171 0.6171 0.0396  4 Dy 3.64-3.65, 3 Nd 3.66-3.71, 5 La 3.69-3.71
La 0.9225 0.9225 0.8054  4 Dy 3.64-3.66, 3 Nd 3.66-3.71, 5 La 3.69-3.70
Nd 0.0000 0.0000 0.5000  8 Nd 3.65, 4 Dy 3.66
Nd 0.3096 0.3096 0.2681  5 Dy 3.63-3.69, 4 Nd 3.63-3.65, 3 La 3.66-3.71
Nd 0.4584 0.4584 0.6487  4 Nd 3.63-3.65, 5 Dy 3.64-3.70, 3 La 3.66-3.71
Nd 0.5416 0.5416 0.3513  4 Nd 3.63-3.65, 5 Dy 3.64-3.70, 3 La 3.66-3.71
Nd 0.6904 0.6904 0.7319  5 Dy 3.63-3.69, 4 Nd 3.63-3.65, 3 La 3.66-3.71
Dy 0.1537 0.1537 0.8846  6 Nd 3.63-3.70, 4 La 3.64-3.65, 2 Dy 3.67
Dy 0.2310 0.2310 0.5773  6 Nd 3.64-3.69, 4 La 3.64-3.66, 2 Dy 3.66
Dy 0.7690 0.7690 0.4227  6 Nd 3.64-3.69, 4 La 3.64-3.66, 2 Dy 3.66
Dy 0.8463 0.8463 0.1154  6 Nd 3.63-3.70, 4 La 3.64-3.65, 2 Dy 3.67


No. 2
Compound: LaNd2Dy
Source: the Alexandria database
Functional: GGA-PBE
Structure: relaxed

Crystal system   monoclinic
SG   No. 12

Cell: 6.3730 6.3730 6.3066 Å, 99.55 99.55 33.47°
Closest atoms and distances in Å follow each position.
Atoms (fractional coordinates):
La 0.0000 0.0000 0.0000  4 Dy 3.65, 6 Nd 3.66-3.69, 2 La 3.67
Nd 0.2483 0.2483 0.7485  6 Nd 3.64-3.67, 3 Dy 3.66-3.68, 3 La 3.66-3.69
Nd 0.7517 0.7517 0.2515  6 Nd 3.64-3.67, 3 Dy 3.66-3.68, 3 La 3.66-3.69
Dy 0.5000 0.5000 0.5000  4 La 3.65, 6 Nd 3.66-3.68, 2 Dy 3.67


No. 3
Compound: La3Nd7Dy2
Source: the Alexandria database
Functional: GGA-PBE
Structure: relaxed

Crystal system   monoclinic
SG   No. 10

Cell: 6.0097 3.6623 19.4146 Å, 90.00 93.02 90.00°
Closest atoms and distances in Å follow each position.
Atoms (fractional coordinates):
La 0.0000 0.0000 0.0000  8 Nd 3.51-3.52, 2 La 3.66
La 0.2768 0.5000 0.6343  2 La 3.66, 4 Dy 3.76-3.80, 8 Nd 3.79-4.05
La 0.7232 0.5000 0.3657  2 La 3.66, 4 Dy 3.76-3.80, 8 Nd 3.79-4.05
Nd 0.1901 0.5000 0.1458  2 Dy 3.41, 7 Nd 3.47-3.66, 2 La 3.51
Nd 0.2441 0.0000 0.4634  1 Dy 3.28, 4 Nd 3.32-3.66
Nd 0.3073 0.0000 0.8208  6 Nd 3.56-3.66, 2 Dy 3.73-3.76
Nd 0.5000 0.5000 0.0000  4 Nd 3.47-3.66, 4 La 3.52
Nd 0.6927 0.0000 0.1792  6 Nd 3.56-3.66, 2 Dy 3.73-3.76
Nd 0.7559 0.0000 0.5366  1 Dy 3.28, 4 Nd 3.32-3.66
Nd 0.8099 0.5000 0.8542  2 Dy 3.41, 7 Nd 3.47-3.66, 2 La 3.51
Dy 0.2145 0.0000 0.2944  3 Nd 3.28-3.41, 2 Dy 3.66
Dy 0.7855 0.0000 0.7056  3 Nd 3.28-3.41, 2 Dy 3.66


No. 4
Compound: La2Nd3Dy2
Source: the Alexandria database
Functional: GGA-PBE
Structure: relaxed

Crystal system   monoclinic
SG   No. 12

Cell: 9.1563 9.1563 8.7294 Å, 118.35 118.35 22.52°
Closest atoms and distances in Å follow each position.
Atoms (fractional coordinates):
La 0.0643 0.0643 0.4122  3 La 3.33-3.58, 3 Nd 3.55-3.67, 2 Dy 3.72
La 0.9357 0.9357 0.5878  3 La 3.33-3.58, 3 Nd 3.55-3.67, 2 Dy 3.72
Nd 0.2870 0.2870 0.7046  5 Nd 3.43-3.62, 3 La 3.55-3.74, 3 Dy 3.58-3.65
Nd 0.5000 0.5000 0.0000  4 Nd 3.43-3.58, 2 Dy 3.60, 4 La 3.67
Nd 0.7130 0.7130 0.2954  5 Nd 3.43-3.62, 3 La 3.55-3.74, 3 Dy 3.58-3.65
Dy 0.3495 0.3495 0.1618  4 Dy 3.58-3.77, 4 Nd 3.58-3.65, 4 La 3.72-3.83
Dy 0.6505 0.6505 0.8382  4 Dy 3.58-3.77, 4 Nd 3.58-3.65, 4 La 3.72-3.83


No. 5
Compound: La4Nd6Dy
Source: the Alexandria database
Functional: GGA-PBE
Structure: relaxed

Crystal system   tetragonal
SG   No. 121

Cell: 9.6946 9.6946 9.6946 Å, 137.97 137.97 60.95°
Closest atoms and distances in Å follow each position.
Atoms (fractional coordinates):
La 0.1329 0.1329 0.6250  3 Nd 3.46-3.66, 1 Dy 3.52, 1 La 3.69
La 0.4921 0.8671 0.0000  3 Nd 3.46-3.66, 1 Dy 3.52, 1 La 3.69
La 0.5079 0.5079 0.3750  3 Nd 3.46-3.66, 1 Dy 3.52, 1 La 3.69
La 0.8671 0.4921 0.0000  3 Nd 3.46-3.66, 1 Dy 3.52, 1 La 3.69
Nd 0.0000 0.5000 0.5000  4 Nd 3.21, 2 Dy 3.48
Nd 0.0548 0.7185 0.0000  3 Nd 3.21-3.31, 1 La 3.46
Nd 0.2815 0.2815 0.3363  3 Nd 3.21-3.31, 1 La 3.46
Nd 0.5000 0.0000 0.5000  4 Nd 3.21, 2 Dy 3.48
Nd 0.7185 0.0548 0.0000  3 Nd 3.21-3.31, 1 La 3.46
Nd 0.9452 0.9452 0.6637  3 Nd 3.21-3.31, 1 La 3.46
Dy 0.5000 0.5000 0.0000  8 Nd 3.48-3.77, 4 La 3.52


No. 6
Compound: La2Nd2Dy5
Source: the Alexandria database
Functional: GGA-PBE
Structure: relaxed

Crystal system   monoclinic
SG   No. 12

Cell: 9.0718 9.0718 9.9179 Å, 98.45 98.45 22.29°
Closest atoms and distances in Å follow each position.
Atoms (fractional coordinates):
La 0.1648 0.1648 0.2202  7 Dy 3.38-3.62, 2 La 3.51, 2 Nd 3.72
La 0.8352 0.8352 0.7798  7 Dy 3.38-3.62, 2 La 3.51, 2 Nd 3.72
Nd 0.4950 0.4950 0.3124  6 Dy 3.49-3.67, 3 Nd 3.51-3.70, 2 La 3.72
Nd 0.5050 0.5050 0.6876  6 Dy 3.49-3.67, 3 Nd 3.51-3.70, 2 La 3.72
Dy 0.0000 0.0000 0.0000  2 La 3.38, 4 Dy 3.51-3.53, 4 Nd 3.57
Dy 0.1726 0.1726 0.8643  5 Dy 3.51-3.65, 3 La 3.55-3.59, 2 Nd 3.67
Dy 0.3290 0.3290 0.4594  3 La 3.48-3.62, 2 Nd 3.49-3.58, 6 Dy 3.51-3.65
Dy 0.6710 0.6710 0.5406  3 La 3.48-3.62, 2 Nd 3.49-3.58, 6 Dy 3.51-3.65
Dy 0.8274 0.8274 0.1357  5 Dy 3.51-3.65, 3 La 3.55-3.59, 2 Nd 3.67


No. 7
Compound: LaNd2Dy
Source: the Alexandria database
Functional: GGA-PBE
Structure: relaxed

Crystal system   tetragonal
SG   No. 123

Cell: 4.3027 4.3027 7.5352 Å, 90.00 90.00 90.00°
Closest atoms and distances in Å follow each position.
Atoms (fractional coordinates):
La 0.0000 0.0000 0.0000  8 Nd 3.63, 2 Dy 3.77
Nd 0.5000 0.5000 0.2619  4 Dy 3.53, 2 Nd 3.59-3.95, 4 La 3.63
Nd 0.5000 0.5000 0.7381  4 Dy 3.53, 2 Nd 3.59-3.95, 4 La 3.63
Dy 0.0000 0.0000 0.5000  8 Nd 3.53, 2 La 3.77


No. 8
Compound: LaNd2Dy9
Source: the Alexandria database
Functional: GGA-PBE
Structure: relaxed

Crystal system   tetragonal
SG   No. 123

Cell: 5.0681 5.0681 15.2138 Å, 90.00 90.00 90.00°
Closest atoms and distances in Å follow each position.
Atoms (fractional coordinates):
La 0.0000 0.0000 0.0000  12 Dy 3.58-3.60
Nd 0.0000 0.0000 0.3332  12 Dy 3.57-3.59
Nd 0.0000 0.0000 0.6668  12 Dy 3.57-3.59
Dy 0.0000 0.5000 0.1683  2 Nd 3.57, 8 Dy 3.58-3.60, 2 La 3.60
Dy 0.0000 0.5000 0.5000  8 Dy 3.57-3.58, 4 Nd 3.59
Dy 0.0000 0.5000 0.8317  2 Nd 3.57, 8 Dy 3.58-3.60, 2 La 3.60
Dy 0.5000 0.0000 0.1683  2 Nd 3.57, 8 Dy 3.58-3.60, 2 La 3.60
Dy 0.5000 0.0000 0.5000  8 Dy 3.57-3.58, 4 Nd 3.59
Dy 0.5000 0.0000 0.8317  2 Nd 3.57, 8 Dy 3.58-3.60, 2 La 3.60
Dy 0.5000 0.5000 0.0000  4 La 3.58, 8 Dy 3.60
Dy 0.5000 0.5000 0.3344  8 Dy 3.57-3.58, 4 Nd 3.58
Dy 0.5000 0.5000 0.6656  8 Dy 3.57-3.58, 4 Nd 3.58


No. 9
Compound: La6Nd2Dy
Source: the Alexandria database
Functional: GGA-PBE
Structure: relaxed

Crystal system   orthorhombic
SG   No. 65

Cell: 10.2698 10.2698 3.7041 Å, 90.00 90.00 124.22°
Closest atoms and distances in Å follow each position.
Atoms (fractional coordinates):
La 0.0074 0.3357 0.0000  4 La 3.30-3.51, 2 Nd 3.66
La 0.1796 0.1796 0.5000  7 La 3.45-3.70, 2 Dy 3.59
La 0.3357 0.0074 0.0000  4 La 3.30-3.51, 2 Nd 3.66
La 0.6643 0.9926 0.0000  4 La 3.30-3.51, 2 Nd 3.66
La 0.8204 0.8204 0.5000  7 La 3.45-3.70, 2 Dy 3.59
La 0.9926 0.6643 0.0000  4 La 3.30-3.51, 2 Nd 3.66
Nd 0.3272 0.6728 0.5000  2 Dy 3.64, 8 La 3.66-3.86, 2 Nd 3.70
Nd 0.6728 0.3272 0.5000  2 Dy 3.64, 8 La 3.66-3.86, 2 Nd 3.70
Dy 0.5000 0.5000 0.0000  4 La 3.59, 4 Nd 3.64, 2 Dy 3.70


No. 10
Compound: La4NdDy2
Source: the Alexandria database
Functional: GGA-PBE
Structure: relaxed

Crystal system   monoclinic
SG   No. 9

Cell: 12.7802 12.7802 6.9336 Å, 96.97 96.97 150.24°
Closest atoms and distances in Å follow each position.
Atoms (fractional coordinates):
La 0.0183 0.9817 0.5000  6 La 3.44-3.84, 2 Dy 3.61-3.67, 2 Nd 3.62-3.77
La 0.3891 0.7845 0.7158  4 La 3.44-3.75, 4 Dy 3.53-3.72, 2 Nd 3.74-3.83
La 0.3965 0.8600 0.2548  5 La 3.44-3.71, 2 Dy 3.61-3.67, 2 Nd 3.63-3.77
La 0.4463 0.5508 0.5379  5 La 3.44-3.84, 4 Dy 3.53-3.71, 2 Nd 3.73-3.83
La 0.5508 0.4463 0.0379  5 La 3.44-3.84, 4 Dy 3.53-3.71, 2 Nd 3.73-3.83
La 0.7845 0.3891 0.2158  4 La 3.44-3.75, 4 Dy 3.53-3.72, 2 Nd 3.74-3.83
La 0.8600 0.3965 0.7548  5 La 3.44-3.71, 2 Dy 3.61-3.67, 2 Nd 3.63-3.77
La 0.9817 0.0183 0.0000  6 La 3.44-3.84, 2 Dy 3.61-3.67, 2 Nd 3.62-3.77
Nd 0.1589 0.9092 0.1265  4 Dy 3.50-3.68, 8 La 3.62-3.83
Nd 0.9092 0.1589 0.6265  4 Dy 3.50-3.68, 8 La 3.62-3.83
Dy 0.2663 0.9508 0.6729  2 Nd 3.50-3.67, 7 La 3.53-3.91, 2 Dy 3.70
Dy 0.4693 0.6540 0.0799  2 Nd 3.50-3.68, 7 La 3.53-3.91, 2 Dy 3.70
Dy 0.6540 0.4693 0.5799  2 Nd 3.50-3.68, 7 La 3.53-3.91, 2 Dy 3.70
Dy 0.9508 0.2663 0.1729  2 Nd 3.50-3.67, 7 La 3.53-3.91, 2 Dy 3.70


No. 11
Compound: LaNd3Dy2
Source: the Alexandria database
Functional: GGA-PBE
Structure: relaxed

Crystal system   orthorhombic
SG   No. 71

Cell: 10.5333 10.5333 10.5333 Å, 160.82 146.83 38.60°
Closest atoms and distances in Å follow each position.
Atoms (fractional coordinates):
La 0.0000 0.0000 0.0000  2 Nd 3.01
Nd 0.1919 0.1919 0.0000  5 Dy 3.38-3.64, 2 Nd 3.51
Nd 0.5000 0.0000 0.5000  2 La 3.01, 4 Dy 3.26
Nd 0.8081 0.8081 0.0000  5 Dy 3.38-3.64, 2 Nd 3.51
Dy 0.3620 0.3620 0.0000  7 Nd 3.26-3.64, 2 Dy 3.51
Dy 0.6380 0.6380 0.0000  7 Nd 3.26-3.64, 2 Dy 3.51


No. 12
Compound: La2Nd6Dy
Source: the Alexandria database
Functional: GGA-PBE
Structure: relaxed

Crystal system   orthorhombic
SG   No. 58

Cell: 11.0458 11.0715 5.2092 Å, 90.00 90.00 90.00°
Closest atoms and distances in Å follow each position.
Atoms (fractional coordinates):
La 0.1647 0.1645 0.0000  2 Dy 3.66, 10 Nd 3.67-3.71
La 0.3353 0.6645 0.5000  2 Dy 3.66, 10 Nd 3.67-3.71
La 0.6647 0.3355 0.5000  2 Dy 3.66, 10 Nd 3.67-3.71
La 0.8353 0.8355 0.0000  2 Dy 3.66, 10 Nd 3.67-3.71
Nd 0.0004 0.3328 0.5000  8 Nd 3.67-3.70, 3 La 3.68-3.71, 1 Dy 3.68
Nd 0.9996 0.6672 0.5000  8 Nd 3.67-3.70, 3 La 3.68-3.71, 1 Dy 3.68
Nd 0.1671 0.5000 0.0000  1 Dy 3.68, 3 La 3.68-3.71, 8 Nd 3.68-3.69
Nd 0.1672 0.8327 0.0000  4 La 3.67-3.70, 6 Nd 3.67-3.68, 2 Dy 3.69
Nd 0.3329 0.0000 0.5000  1 Dy 3.68, 3 La 3.68-3.71, 8 Nd 3.68-3.69
Nd 0.3328 0.3327 0.5000  4 La 3.67-3.70, 6 Nd 3.67-3.68, 2 Dy 3.69
Nd 0.5004 0.1672 0.0000  8 Nd 3.67-3.70, 3 La 3.68-3.71, 1 Dy 3.68
Nd 0.4996 0.8328 0.0000  8 Nd 3.67-3.70, 3 La 3.68-3.71, 1 Dy 3.68
Nd 0.6671 0.0000 0.5000  1 Dy 3.68, 3 La 3.68-3.71, 8 Nd 3.68-3.69
Nd 0.6672 0.6673 0.5000  4 La 3.67-3.70, 6 Nd 3.67-3.68, 2 Dy 3.69
Nd 0.8328 0.1673 0.0000  4 La 3.67-3.70, 6 Nd 3.67-3.68, 2 Dy 3.69
Nd 0.8329 0.5000 0.0000  1 Dy 3.68, 3 La 3.68-3.71, 8 Nd 3.68-3.69
Dy 0.0000 0.0000 0.5000  4 La 3.66, 8 Nd 3.68-3.69
Dy 0.5000 0.5000 0.0000  4 La 3.66, 8 Nd 3.68-3.69


Number 1: formation enthalpy at 0 K 0.02 eV per atom. Number 2: formation enthalpy at 0 K 0.02 eV per atom. Number 3: formation enthalpy at 0 K 0.08 eV per atom. Number 4: formation enthalpy at 0 K 0.12 eV per atom. Number 5: formation enthalpy at 0 K 0.26 eV per atom. Number 6: formation enthalpy at 0 K 0.14 eV per atom. Number 7: formation enthalpy at 0 K 0.11 eV per atom. Number 8: formation enthalpy at 0 K 0.02 eV per atom. Number 9: formation enthalpy at 0 K 0.11 eV per atom. Number 10: formation enthalpy at 0 K 0.07 eV per atom. Number 11: formation enthalpy at 0 K 0.30 eV per atom. Number 12: formation enthalpy at 0 K 0.02 eV per atom.